# 1
First-principles (PBE) data for an optimized crystal structure of PaTcSb, as listed in Alexandria via LeMat-Bulk.

a = 9.070 Å, b = 4.743 Å, c = 6.661 Å
α = 90.00°, β = 90.00°, γ = 90.00°
Atoms (fractional coordinates):
1 Pa 0.128 0.250 0.236
2 Pa 0.372 0.750 0.736
3 Pa 0.628 0.250 0.264
4 Pa 0.872 0.750 0.764
5 Tc 0.099 0.750 0.540
6 Tc 0.401 0.250 0.040
7 Tc 0.599 0.750 0.960
8 Tc 0.901 0.250 0.460
9 Sb 0.129 0.250 0.760
10 Sb 0.371 0.750 0.260
11 Sb 0.629 0.250 0.740
12 Sb 0.871 0.750 0.240

Summary:
space group: Pnma (62)
energy relative to the lowest polymorph listed for this composition: 125 meV/atom

=====

# 2
First-principles (PBE) data for an optimized crystal structure of Ce2Co3TcAs4, as listed in Alexandria via LeMat-Bulk.

a = 4.192 Å, b = 4.192 Å, c = 9.435 Å
α = 90.00°, β = 90.00°, γ = 90.00°
Atoms (fractional coordinates):
1 Ce 0.000 0.500 0.245
2 Ce 0.500 0.000 0.755
3 Co 0.000 0.500 0.887
4 Co 0.500 0.000 0.113
5 Co 0.500 0.500 0.500
6 Tc 0.000 0.000 0.500
7 As 0.000 0.000 0.000
8 As 0.000 0.500 0.638
9 As 0.500 0.000 0.362
10 As 0.500 0.500 0.000

Summary:
energy of formation: -744 meV/atom
space group: P-4m2 (115)

=====

# 3
First-principles (PBE) data for an optimized crystal structure of LaAgSnO2, as listed in Alexandria via LeMat-Bulk.

a = 4.393 Å, b = 4.393 Å, c = 6.304 Å
α = 90.00°, β = 90.00°, γ = 90.00°
Atoms (fractional coordinates):
1 La 0.000 0.000 0.000
2 Ag 0.000 0.000 0.500
3 Sn 0.500 0.500 0.500
4 O 0.000 0.500 0.000
5 O 0.500 0.000 0.000

Summary:
space group: P4/mmm (123)
DFT total energy: -5.3123 eV/atom

=====

# 4
First-principles (PBE) data for an optimized crystal structure of Ta4PtBr, as listed in Alexandria via LeMat-Bulk.

a = 5.474 Å, b = 5.474 Å, c = 5.474 Å
α = 60.00°, β = 60.00°, γ = 60.00°
Atoms (fractional coordinates):
1 Ta 0.376 0.376 0.376
2 Ta 0.376 0.376 0.873
3 Ta 0.376 0.873 0.376
4 Ta 0.873 0.376 0.376
5 Pt 0.750 0.750 0.750
6 Br 0.000 0.000 0.000

Summary:
space group: F-43m (216)
DFT total energy: -8.5053 eV/atom

=====

# 5
First-principles (PBE) data for an optimized crystal structure of AgMoCl6, as listed in Alexandria via LeMat-Bulk.

a = 6.827 Å, b = 6.827 Å, c = 6.827 Å
α = 55.28°, β = 55.28°, γ = 55.28°
Atoms (fractional coordinates):
1 Ag 0.000 0.000 0.000
2 Mo 0.500 0.500 0.500
3 Cl 0.111 0.435 0.720
4 Cl 0.280 0.889 0.565
5 Cl 0.435 0.720 0.111
6 Cl 0.565 0.280 0.889
7 Cl 0.720 0.111 0.435
8 Cl 0.889 0.565 0.280

Summary:
space group: R-3 (148)
energy relative to the lowest polymorph listed for this composition: 0 meV/atom

=====

# 6
First-principles (PBE) data for an optimized crystal structure of DyMgAl4, as listed in Alexandria via LeMat-Bulk.

a = 6.595 Å, b = 6.595 Å, c = 4.341 Å
α = 90.00°, β = 90.00°, γ = 141.63°
Atoms (fractional coordinates):
1 Dy 0.000 0.000 0.000
2 Mg 0.500 0.500 0.500
3 Al 0.176 0.824 0.500
4 Al 0.321 0.679 0.000
5 Al 0.679 0.321 0.000
6 Al 0.824 0.176 0.500

Summary:
energy of formation: -177 meV/atom
space group: Cmmm (65)
energy relative to the lowest polymorph listed for this composition: 88 meV/atom

=====

# 7
First-principles (PBE) data for an optimized crystal structure of Th6ReN12, as listed in Alexandria via LeMat-Bulk.

a = 6.775 Å, b = 6.775 Å, c = 6.775 Å
α = 98.11°, β = 98.11°, γ = 98.11°
Atoms (fractional coordinates):
1 Th 0.108 0.640 0.794
2 Th 0.206 0.892 0.360
3 Th 0.360 0.206 0.892
4 Th 0.640 0.794 0.108
5 Th 0.794 0.108 0.640
6 Th 0.892 0.360 0.206
7 Re 0.500 0.500 0.500
8 N 0.055 0.324 0.904
9 N 0.096 0.945 0.676
10 N 0.209 0.538 0.434
11 N 0.324 0.904 0.055
12 N 0.434 0.209 0.538
13 N 0.462 0.566 0.791
14 N 0.538 0.434 0.209
15 N 0.566 0.791 0.462
16 N 0.676 0.096 0.945
17 N 0.791 0.462 0.566
18 N 0.904 0.055 0.324
19 N 0.945 0.676 0.096

Summary:
space group: R-3 (148)
DFT total energy: -9.1519 eV/atom

=====

# 8
First-principles (PBE) data for an optimized crystal structure of NdErCuPt, as listed in Alexandria via LeMat-Bulk.

a = 4.425 Å, b = 5.723 Å, c = 5.723 Å
α = 39.09°, β = 90.00°, γ = 90.00°
Atoms (fractional coordinates):
1 Nd 0.000 0.000 0.000
2 Er 0.500 0.277 0.277
3 Cu 0.500 0.566 0.566
4 Pt 0.000 0.721 0.721

Summary:
energy of formation: -747 meV/atom
space group: Amm2 (38)
energy relative to the lowest polymorph listed for this composition: 0 meV/atom